TlSnHgS3 | PBE-GGA | relaxed

```
12
Lattice="3.906 0.000 0.000 0.000 9.052 1.607 0.000 -2.670 9.759" Properties=species:S:1:pos:R:3 pbc="T T T"
Tl 0.977 0.737 2.188
Tl 2.930 5.645 9.179
Sn 0.977 5.285 2.244
Sn 2.930 1.097 9.123
Hg 0.977 -0.343 6.000
Hg 2.930 6.724 5.367
S 2.930 7.056 2.851
S 0.977 -0.675 8.516
S 0.977 5.945 6.819
S 2.930 0.436 4.547
S 2.930 3.328 1.872
S 0.977 3.054 9.495
```

Calculated values
formation energy (no corrections): -0.21 eV/atom
calculated volume: 361.84 Å³/cell
crystal system: monoclinic
symmetry: No. 11
calculated total energy: -3.386 eV per atom

***

Cu3RhI | PBE-GGA | relaxed

```
5
Lattice="-3.542 1.417 -2.798 -1.856 -4.349 0.147 -2.528 1.208 3.812" Properties=species:S:1:pos:R:3 pbc="T T T"
I -3.963 -0.862 0.580
Rh 0.000 0.000 0.000
Cu -0.928 -2.175 0.074
Cu -1.264 0.604 1.906
Cu -1.771 0.708 -1.399
```

Calculated values
formation energy (no corrections): 0.92 eV/atom
calculated volume: 105.89 Å³/cell
crystal system: cubic
symmetry: No. 221
ΔE to the lowest computed polymorph: 0.0 kJ per mole of atoms
calculated total energy: -3.317 eV per atom

***

Na3SeS | PBE-GGA | relaxed

```
10
Lattice="7.962 -0.205 -0.997 3.845 7.648 -2.070 3.456 -3.994 4.392" Properties=species:S:1:pos:R:3 pbc="T T T"
Na 3.850 -0.909 2.515
Na 9.470 6.382 -2.445
Na 5.693 2.464 -0.747
Na 9.254 4.069 1.076
Na 8.146 0.558 0.649
Na 11.921 4.479 -1.045
Se 10.759 1.790 0.091
Se 6.853 5.156 -1.885
S 6.452 4.256 1.368
S 6.654 -1.099 2.226
```

Calculated values
formation energy (no corrections): -0.91 eV/atom
calculated volume: 248.22 Å³/cell
crystal system: triclinic
symmetry: No. 2
ΔE to the lowest computed polymorph: 0.0 kJ per mole of atoms
calculated total energy: -3.227 eV per atom